VASP calculation (PBE-GGA) on a relaxed structure of SrReSn2Bi.

Lattice parameters (Å, degrees): 5.8423 5.8423 5.3185 90.00 90.00 90.00
Fractional coordinates of all 5 atoms:
Sr (0.0000, 0.0000, 0.0000)
Re (0.0000, 0.0000, 0.5000)
Sn (0.0000, 0.5000, 0.0000)
Sn (0.5000, 0.0000, 0.0000)
Bi (0.5000, 0.5000, 0.5000)

Values from the calculation:
Theoretical density: 6588 kg/m3
Formation energy: 1.794 eV/atom
Raw total energy: -3.41 eV/atom
Space-group type: No. 123